No. 1
# TlCo2Ni, relaxed, DFT PBEsol
# Crystal system: monoclinic
# Energy relative to the lowest polymorph listed for this composition, meV per atom: 0.0
# ΔH_f (0 K), eV/atom: 0.41
# Total DFT energy (no corrections), eV per atom: -5.655
data_TlCo2Ni
_chemical_formula_sum 'Tl2 Co4 Ni2'
_cell_length_a 8.468
_cell_length_b 2.856
_cell_length_c 4.516
_cell_angle_alpha 90.00
_cell_angle_beta 102.90
_cell_angle_gamma 90.00
_symmetry_space_group_name_H-M 'C 1 2/m 1'
_symmetry_Int_Tables_number 12
_symmetry_space_group_name_Hall '-C 2y'
loop_
_atom_site_label
_atom_site_type_symbol
_atom_site_fract_x
_atom_site_fract_y
_atom_site_fract_z
Tl1 Tl 0.000 0.000 0.000
Co1 Co 0.239 0.000 0.702
Ni1 Ni 0.000 0.500 0.500

No. 2
# BaZr3Re, relaxed, DFT PBEsol
# Crystal system: cubic
# Energy relative to the lowest polymorph listed for this composition, meV per atom: 2012.0
# ΔH_f (0 K), eV/atom: 2.46
# Total DFT energy (no corrections), eV per atom: -6.086
data_BaZr3Re
_chemical_formula_sum 'Ba1 Zr3 Re1'
_cell_length_a 5.080
_cell_length_b 5.080
_cell_length_c 5.080
_cell_angle_alpha 90.00
_cell_angle_beta 90.00
_cell_angle_gamma 90.00
_symmetry_space_group_name_H-M 'P m -3 m'
_symmetry_Int_Tables_number 221
_symmetry_space_group_name_Hall '-P 4 2 3'
loop_
_atom_site_label
_atom_site_type_symbol
_atom_site_fract_x
_atom_site_fract_y
_atom_site_fract_z
Ba1 Ba 0.000 0.000 0.000
Zr1 Zr 0.000 0.000 0.500
Re1 Re 0.500 0.500 0.500

No. 3
# LaMnCdW2, relaxed, DFT PBEsol
# Crystal system: tetragonal
# ΔH_f (0 K), eV/atom: 2.79
# Total DFT energy (no corrections), eV per atom: -5.994
data_LaMnCdW2
_chemical_formula_sum 'La1 Mn1 Cd1 W2'
_cell_length_a 4.859
_cell_length_b 4.859
_cell_length_c 5.463
_cell_angle_alpha 90.00
_cell_angle_beta 90.00
_cell_angle_gamma 90.00
_symmetry_space_group_name_H-M 'P 4/m m m'
_symmetry_Int_Tables_number 123
_symmetry_space_group_name_Hall '-P 4 2'
loop_
_atom_site_label
_atom_site_type_symbol
_atom_site_fract_x
_atom_site_fract_y
_atom_site_fract_z
La1 La 0.000 0.000 0.000
Mn1 Mn 0.500 0.500 0.500
Cd1 Cd 0.000 0.000 0.500
W1 W 0.000 0.500 0.000